[1]
A geometry-optimized CsSb3Au3 structure. Source: the Alexandria database, functional PBE.

```
data_CsSb3Au3
_chemical_formula_sum 'Cs2 Sb6 Au6'
_symmetry_space_group_name_H-M 'P m -3 n'
_symmetry_Int_Tables_number 223
_symmetry_space_group_name_Hall '-P 4n 2 3'
_cell_length_a 7.702
_cell_length_b 7.702
_cell_length_c 7.702
_cell_angle_alpha 90.00
_cell_angle_beta 90.00
_cell_angle_gamma 90.00
loop_
_atom_site_label
_atom_site_type_symbol
_atom_site_fract_x
_atom_site_fract_y
_atom_site_fract_z
_atom_site_occupancy
Cs1 Cs 0.000 0.000 0.000 1
Sb1 Sb 0.000 0.250 0.500 1
Au1 Au 0.000 0.500 0.250 1
```

Energy relative to the lowest polymorph listed for this composition = 0.000 eV/f.u.
DOS at the Fermi energy = 4.138 states/eV/f.u.
Total DFT energy (no corrections) = -0.12882 Ha/atom
Density = 7.9 g/cm³
Uncorrected formation energy = -0.21 eV/atom

=====

[2]
A geometry-optimized Ti2BiC structure. Source: the Alexandria database, functional PBE.

```
data_Ti2BiC
_chemical_formula_sum 'Ti8 Bi4 C4'
_symmetry_space_group_name_H-M 'F m -3 m'
_symmetry_Int_Tables_number 225
_symmetry_space_group_name_Hall '-F 4 2 3'
_cell_length_a 6.405
_cell_length_b 6.405
_cell_length_c 6.405
_cell_angle_alpha 90.00
_cell_angle_beta 90.00
_cell_angle_gamma 90.00
loop_
_atom_site_label
_atom_site_type_symbol
_atom_site_fract_x
_atom_site_fract_y
_atom_site_fract_z
_atom_site_occupancy
Ti1 Ti 0.250 0.250 0.250 1
Bi1 Bi 0.000 0.000 0.000 1
C1 C 0.000 0.000 0.500 1
```

DOS at the Fermi energy = 4.962 states/eV/f.u.
Total DFT energy (no corrections) = -0.23157 Ha/atom
Density = 8.0 g/cm³
Formation energy = 356 kJ/mol of formula units